# 1
Here is a relaxed Sr4Pt4O11 crystal from OQMD via LeMat-Bulk. Energies are from PBE.

extended XYZ file:
```
19
Lattice="5.6401 0.0000 0.0000 -0.0571 5.6668 0.0000 -0.0967 -0.1037 7.9008" Properties=species:S:1:pos:R:3 pbc="T T T"
Sr 0.0000 0.0000 0.0000
Sr -0.0125 0.4407 3.9023
Sr 2.5504 3.1871 3.9625
Sr 2.7776 2.7109 0.0370
Pt 2.7223 0.0799 5.9101
Pt 2.8215 0.0908 1.9699
Pt 5.4692 3.0500 1.9732
Pt 5.4593 2.9607 5.9216
O 0.4012 3.1958 0.0048
O 0.9623 4.6289 5.5362
O 1.0662 4.6261 2.3459
O 1.5406 1.7643 2.1538
O 1.5523 1.7928 5.6149
O 2.2464 0.1381 7.8873
O 3.2247 5.5990 3.9360
O 3.8067 4.1002 6.3673
O 4.4013 1.3264 1.6088
O 4.3642 1.2643 6.3015
O 4.9347 2.8742 3.9292
```

Computed properties:
Calculated density   8.59 g/cm3
SG   P1
Relative energy among the computed polymorphs   3 meV/atom

# 2
Here is a relaxed TaAlFeHg crystal from OQMD via LeMat-Bulk. Energies are from PBE.

extended XYZ file:
```
4
Lattice="0.0000 3.1947 3.1947 3.1947 0.0000 3.1947 3.1947 3.1947 0.0000" Properties=species:S:1:pos:R:3 pbc="T T T"
Ta 0.0000 0.0000 0.0000
Al 3.1947 3.1947 3.1947
Fe 4.7921 4.7921 4.7921
Hg 1.5974 1.5974 1.5974
```

Computed properties:
Calculated density   11.82 g/cm3
SG   F-43m
Relative energy among the computed polymorphs   0 meV/atom

# 3
Here is a relaxed NaZrCuTe2Se crystal from OQMD via LeMat-Bulk. Energies are from PBE.

extended XYZ file:
```
12
Lattice="1.9791 -7.2942 0.0000 1.9791 7.2942 0.0000 0.0000 0.0000 10.3952" Properties=species:S:1:pos:R:3 pbc="T T T"
Na 1.9791 3.8304 7.7964
Na 1.9791 -3.8304 2.5988
Zr 1.9791 0.0000 0.0000
Zr 1.9791 0.0000 5.1976
Cu 1.9791 6.8548 2.5988
Cu 1.9791 -6.8548 7.7964
Te 1.9791 5.2216 0.5739
Te 1.9791 5.2216 4.6237
Te 1.9791 -5.2216 5.7715
Te 1.9791 -5.2216 9.8213
Se 1.9791 1.0096 2.5988
Se 1.9791 -1.0096 7.7964
```

Computed properties:
Calculated density   5.66 g/cm3
SG   Cmcm
Relative energy among the computed polymorphs   37 meV/atom

# 4
Here is a relaxed HoNiSn2 crystal from OQMD via LeMat-Bulk. Energies are from PBE.

extended XYZ file:
```
48
Lattice="16.1156 0.0000 0.0000 0.0000 4.4333 0.0000 0.0000 0.0000 14.5709" Properties=species:S:1:pos:R:3 pbc="T T T"
Ho 2.0422 1.1083 3.3038
Ho 2.3568 3.3250 8.7903
Ho 2.4253 1.1083 14.1530
Ho 5.6325 3.3250 6.8676
Ho 5.7009 1.1083 1.5048
Ho 6.0156 3.3250 10.5892
Ho 10.1000 1.1083 3.9817
Ho 10.4146 3.3250 13.0661
Ho 10.4831 1.1083 7.7033
Ho 13.6903 3.3250 0.4179
Ho 13.7587 1.1083 5.7806
Ho 14.0734 3.3250 11.2671
Ni 0.8435 3.3250 1.5527
Ni 3.1085 1.1083 10.8499
Ni 3.2311 1.1083 6.6089
Ni 4.8267 3.3250 13.8944
Ni 4.9493 3.3250 3.5645
Ni 7.2143 1.1083 8.8381
Ni 8.9013 3.3250 5.7328
Ni 11.1663 1.1083 11.0064
Ni 11.2888 1.1083 0.6765
Ni 12.8845 3.3250 7.9620
Ni 13.0071 3.3250 3.7210
Ni 15.2720 1.1083 13.0182
Sn 0.3296 3.3250 13.4332
Sn 0.4990 1.1083 10.7281
Sn 0.6963 1.1083 6.5265
Sn 2.8210 3.3250 5.3695
Sn 2.9618 3.3250 11.9897
Sn 3.4570 3.3250 1.5182
Sn 4.6008 1.1083 8.8036
Sn 5.0960 1.1083 4.7043
Sn 5.2368 1.1083 12.6549
Sn 7.3615 3.3250 13.8119
Sn 7.5588 3.3250 3.4426
Sn 7.7282 1.1083 6.1478
Sn 8.3874 3.3250 8.4231
Sn 8.5568 1.1083 11.1283
Sn 8.7541 1.1083 0.7590
Sn 10.8788 3.3250 1.9160
Sn 11.0196 3.3250 9.8666
Sn 11.5148 3.3250 5.7673
Sn 12.6586 1.1083 13.0527
Sn 13.1538 1.1083 2.5812
Sn 13.2946 1.1083 9.2014
Sn 15.4193 3.3250 8.0445
Sn 15.6165 3.3250 3.8429
Sn 15.7860 1.1083 1.1377
```

Computed properties:
Calculated density   8.82 g/cm3
SG   Pnma

# 5
Here is a relaxed DyRe2Se8 crystal from OQMD via LeMat-Bulk. Energies are from PBE.

extended XYZ file:
```
11
Lattice="7.6629 0.0000 0.0000 -3.8315 6.6363 0.0000 0.0000 0.0000 6.5785" Properties=species:S:1:pos:R:3 pbc="T T T"
Dy 0.0000 0.0000 0.0000
Re 0.0000 4.4242 2.2565
Re 3.8315 2.2121 4.3220
Se -2.1178 5.0523 1.5916
Se 0.5149 2.2761 1.5916
Se 0.0000 4.4242 4.5110
Se 2.2286 0.6921 4.9869
Se 1.6028 5.9442 1.5916
Se 3.8315 2.2121 2.0675
Se 3.3165 4.3602 4.9869
Se 5.9492 1.5840 4.9869
```

Computed properties:
Calculated density   5.79 g/cm3
SG   P-3

# 6
Here is a relaxed NaPmCd crystal from OQMD via LeMat-Bulk. Energies are from PBE.

extended XYZ file:
```
3
Lattice="0.0000 3.6213 3.6213 3.6213 0.0000 3.6213 3.6213 3.6213 0.0000" Properties=species:S:1:pos:R:3 pbc="T T T"
Na 0.0000 0.0000 0.0000
Pm 3.6213 3.6213 3.6213
Cd 1.8106 1.8106 1.8106
```

Computed properties:
Calculated density   4.90 g/cm3
SG   F-43m
Relative energy among the computed polymorphs   0 meV/atom

# 7
Here is a relaxed PuBeSi crystal from OQMD via LeMat-Bulk. Energies are from PBE.

extended XYZ file:
```
3
Lattice="0.0000 2.9762 2.9762 2.9762 0.0000 2.9762 2.9762 2.9762 0.0000" Properties=species:S:1:pos:R:3 pbc="T T T"
Pu 0.0000 0.0000 0.0000
Be 1.4881 1.4881 1.4881
Si 2.9762 2.9762 2.9762
```

Computed properties:
Calculated density   8.85 g/cm3
SG   F-43m

# 8
Here is a relaxed TaCo crystal from OQMD via LeMat-Bulk. Energies are from PBE.

extended XYZ file:
```
2
Lattice="3.0526 0.0000 0.0000 0.0000 3.0526 0.0000 0.0000 0.0000 3.0526" Properties=species:S:1:pos:R:3 pbc="T T T"
Ta 0.0000 0.0000 0.0000
Co 1.5263 1.5263 1.5263
```

Computed properties:
Calculated density   14.00 g/cm3
Energy of formation   -0.087 eV per atom
SG   Pm-3m

# 9
Here is a relaxed YCuBiSe3 crystal from OQMD via LeMat-Bulk. Energies are from PBE.

extended XYZ file:
```
12
Lattice="2.0213 -6.7834 0.0000 2.0213 6.7834 0.0000 0.0000 0.0000 10.4988" Properties=species:S:1:pos:R:3 pbc="T T T"
Y 0.0000 0.0000 0.0000
Y 0.0000 0.0000 5.2494
Cu 2.0213 0.4004 7.8741
Cu 2.0213 -0.4004 2.6247
Bi 2.0213 4.0027 2.6247
Bi 2.0213 -4.0027 7.8741
Se 2.0213 5.6366 7.8741
Se 2.0213 1.9830 5.8182
Se 2.0213 1.9830 9.9300
Se 2.0213 -1.9830 0.5688
Se 2.0213 -1.9830 4.6806
Se 2.0213 -5.6366 2.6247
```

Computed properties:
Calculated density   6.90 g/cm3
SG   Cmcm

# 10
Here is a relaxed AcOsNO crystal from OQMD via LeMat-Bulk. Energies are from PBE.

extended XYZ file:
```
8
Lattice="3.9051 0.0000 0.0000 0.0000 3.9051 0.0000 0.0000 0.0000 8.4764" Properties=species:S:1:pos:R:3 pbc="T T T"
Ac 0.9763 0.9763 1.4045
Ac 2.9288 2.9288 7.0719
Os 0.9763 2.9288 4.2382
Os 2.9288 0.9763 4.2382
N 0.9763 0.9763 5.1384
N 2.9288 2.9288 3.3380
O 0.9763 2.9288 0.0000
O 2.9288 0.9763 0.0000
```

Computed properties:
Calculated density   11.49 g/cm3
SG   P4/nmm
Relative energy among the computed polymorphs   0 meV/atom

# 11
Here is a relaxed GaCuRePd crystal from OQMD via LeMat-Bulk. Energies are from PBE.

extended XYZ file:
```
4
Lattice="0.0000 3.0710 3.0710 3.0710 0.0000 3.0710 3.0710 3.0710 0.0000" Properties=species:S:1:pos:R:3 pbc="T T T"
Ga 0.0000 0.0000 0.0000
Cu 1.5355 1.5355 1.5355
Re 4.6065 4.6065 4.6065
Pd 3.0710 3.0710 3.0710
```

Computed properties:
Calculated density   12.21 g/cm3
SG   F-43m
Relative energy among the computed polymorphs   0 meV/atom

# 12
Here is a relaxed Tl2AgAuBr6 crystal from OQMD via LeMat-Bulk. Energies are from PBE.

extended XYZ file:
```
10
Lattice="0.0000 5.3684 5.3684 5.3684 0.0000 5.3684 5.3684 5.3684 0.0000" Properties=species:S:1:pos:R:3 pbc="T T T"
Tl 2.6842 2.6842 2.6842
Tl 8.0526 8.0526 8.0526
Ag 0.0000 0.0000 0.0000
Au 5.3684 5.3684 5.3684
Br 5.3684 5.3684 2.7004
Br 5.3684 2.7004 5.3684
Br 8.0365 5.3684 5.3684
Br 2.7004 5.3684 5.3684
Br 5.3684 8.0365 5.3684
Br 5.3684 5.3684 8.0365
```

Computed properties:
Calculated density   6.40 g/cm3
SG   Fm-3m

no.,final energy (eV/cell)
1,-112.52
2,-23.03
3,-56.50
4,-245.20
5,-59.80
6,-6.44
7,-23.82
8,-19.13
9,-58.95
10,-66.33
11,-23.34
12,-25.25